This record from Alexandria describes a geometry-optimized CaNbCd2I structure. The functional is PBE-GGA.

Summary:
E_form (uncorrected) = 1.11 eV per atom
SG = P4/mmm (123)

a b c (Å): 5.875 5.598 5.875
angles (deg): 90.00 90.00 90.00
Each line ends with the local moment (μB).
Fractional positions:
I: 0.000 0.000 0.000  0.02
Nb: 0.500 0.500 0.500  2.90
Ca: 0.000 0.500 0.000  0.04
Cd: 0.000 0.000 0.500  -0.01
Cd: 0.500 0.000 0.000  -0.01